# 1
Entry from the Alexandria database: a PBEsol-optimized structure of NiBTe2 (meta-GGA SCAN).

Summary:
DOS at the Fermi energy in states/eV per atom: 0.633
Magnetic moment in μB/f.u.: 0.4
Uncorrected formation energy in eV per formula unit: 3.48

Cell lengths 3.4410, 3.4410, 22.7881 Å; angles 90.00, 90.00, 120.00 degrees
Space group R-3m (No. 166, hexagonal axes)
One atom of each set of equivalent atoms:
Ni 0.0000 0.0000 0.0000 [3 per cell]
B 0.0000 0.0000 0.5000 [3 per cell]
Te 0.0000 0.0000 0.1033 [6 per cell]

# 2
Entry from the Alexandria database: a PBEsol-optimized structure of ZrNiBTe2 (meta-GGA SCAN).

Summary:
DOS at the Fermi energy in states/eV per atom: 0.903
Magnetic moment in μB/f.u.: 0.0
Uncorrected formation energy in eV per formula unit: 6.56

Cell lengths 5.4613, 5.4613, 4.6071 Å; angles 90.00, 90.00, 90.00 degrees
Space group P4/mmm (No. 123)
One atom of each set of equivalent atoms:
Zr 0.0000 0.0000 0.0000 [1 per cell]
Ni 0.0000 0.0000 0.5000 [1 per cell]
B 0.5000 0.5000 0.5000 [1 per cell]
Te 0.0000 0.5000 0.0000 [2 per cell]

# 3
Entry from the Alexandria database: a PBEsol-optimized structure of Ti2NiB2 (meta-GGA SCAN).

Summary:
Formation energy in eV/atom: -0.780
DOS at the Fermi energy in states/eV per atom: 0.518
Magnetic moment in μB/f.u.: 0.0

Cell lengths 5.4847, 5.4847, 3.3843 Å; angles 90.00, 90.00, 90.00 degrees
Space group P4/mbm (No. 127)
One atom of each set of equivalent atoms:
Ti 0.1754 0.3246 0.0000 [4 per cell]
Ni 0.0000 0.0000 0.5000 [2 per cell]
B 0.1178 0.6178 0.5000 [4 per cell]